# 1
The following is a DFT calculation (PBEsol) of an optimized crystal structure of NaGaSe2O6.

Formation energy from raw total energies: -12.73 eV/f.u.
Space group: Pnma, No. 62
Density of states at the Fermi level: 0.00 states/eV/cell

Cell and atoms, written as POSCAR:
```
NaGaSe2O6
1.0
12.356 0.000 0.000
0.000 5.346 0.000
0.000 0.000 7.851
Na Ga Se O
4 4 8 24
Cartesian
1.399 1.337 0.092
4.779 4.010 4.018
7.577 1.337 3.833
10.957 4.010 7.759
1.239 4.010 5.502
4.938 1.337 1.577
7.417 4.010 6.274
11.116 1.337 2.349
0.852 4.010 2.284
2.530 1.337 3.843
3.648 4.010 7.769
5.326 1.337 6.209
7.030 4.010 1.642
8.707 1.337 0.082
9.826 4.010 4.008
11.503 1.337 5.567
12.354 0.026 6.294
12.354 2.647 6.294
0.001 2.699 1.556
0.001 5.320 1.556
0.195 4.010 3.867
1.976 4.010 7.337
2.621 2.683 4.924
2.621 5.337 4.924
3.557 0.010 0.998
3.557 2.664 0.998
4.202 1.337 3.412
5.983 1.337 7.792
6.177 0.026 5.482
6.177 2.647 5.482
6.179 2.699 2.369
6.179 5.320 2.369
6.373 4.010 0.059
8.154 4.010 4.439
8.799 2.683 6.853
8.799 5.337 6.853
9.735 0.010 2.927
9.735 2.664 2.927
10.380 1.337 0.514
12.160 1.337 3.984
```

# 2
The following is a DFT calculation (PBEsol) of an optimized crystal structure of NaGa3Os.

Energy of formation from the pure elements: -0.12 eV/atom
Space group: Pm-3m, No. 221
Density of states at the Fermi level: 0.67 states/eV/cell

Cell and atoms, written as POSCAR:
```
NaGa3Os
1.0
4.786 0.000 0.000
0.000 4.786 0.000
0.000 0.000 4.786
Na Ga Os
1 3 1
Cartesian
0.000 0.000 0.000
0.000 2.393 2.393
2.393 0.000 2.393
2.393 2.393 0.000
2.393 2.393 2.393
```

In the order shown, the computed volume values come out to 12.97 21.93 A^3/atom.